Mg2Hg2Ge | PBE-GGA | relaxed

Lattice parameters (Å, degrees): 8.040 8.040 3.382 90.00 90.00 90.00
Sites, in units of the cell vectors:
Mg1 0.166 0.666 0.500
Mg2 0.666 0.834 0.500
Mg3 0.834 0.334 0.500
Mg4 0.334 0.166 0.500
Ge1 0.000 0.000 0.000
Ge2 0.500 0.500 0.000
Hg1 0.365 0.865 0.000
Hg2 0.865 0.635 0.000
Hg3 0.635 0.135 0.000
Hg4 0.135 0.365 0.000

Computed properties:
Spin magnetization ... 0.00 μB/f.u.
Polymorph energy (0 for the lowest one) ... 0.0 meV per atom
E_form ... -0.03 eV per atom
Volume ... 218.61 Å³ per cell